Entry 1:
ZnIn2Pd: optimized geometry, PBE.

Values from the calculation:
- Energy of formation from the pure elements: -113.7 meV per atom
- Electronic total energy: -3.100 eV/atom

Unit cell a=4.022 b=4.358 c=4.358 alpha=90.00 beta=90.00 gamma=90.00
Element x y z (fractional)
Pd (0.500, 0.000, 0.000)
In (0.000, 0.000, 0.500)
In (0.000, 0.500, 0.000)
Zn (0.500, 0.500, 0.500)



Entry 2:
PaTi3: optimized geometry, PBE.

Values from the calculation:
- Energy relative to the lowest polymorph listed for this composition: 49 meV/atom
- Energy of formation from the pure elements: 97.2 meV per atom
- Electronic total energy: -8.198 eV/atom

Unit cell a=2.904 b=4.867 c=5.360 alpha=90.00 beta=90.00 gamma=90.00
Element x y z (fractional)
Ti (0.500, 0.500, 0.796)
Ti (0.000, 0.000, 0.031)
Pa (0.000, 0.500, 0.295)
Ti (0.500, 0.000, 0.545)



Entry 3:
SmGa4Ir3: optimized geometry, PBE.

Values from the calculation:
- Energy of formation from the pure elements: -532.1 meV per atom
- Electronic total energy: -5.958 eV/atom

Unit cell a=4.176 b=4.176 c=8.460 alpha=90.00 beta=90.00 gamma=90.00
Element x y z (fractional)
Ga (0.500, 0.000, 0.176)
Sm (0.000, 0.000, 0.500)
Ga (0.000, 0.500, 0.824)
Ir (0.000, 0.000, 0.000)
Ga (0.000, 0.500, 0.176)
Ir (0.500, 0.500, 0.650)
Ga (0.500, 0.000, 0.824)
Ir (0.500, 0.500, 0.350)



Entry 4:
LaTb2Cd: optimized geometry, PBE.

Values from the calculation:
- Energy relative to the lowest polymorph listed for this composition: 104 meV/atom
- Energy of formation from the pure elements: -45.4 meV per atom
- Electronic total energy: -3.821 eV/atom

Unit cell a=3.641 b=3.641 c=11.205 alpha=80.65 beta=80.65 gamma=60.00
Element x y z (fractional)
Tb (0.259, 0.259, 0.224)
La (0.500, 0.500, 0.500)
Tb (0.075, 0.075, 0.776)
Cd (0.667, 0.667, 0.000)



| no. | density (g cm⁻³) |
| --- | --- |
| 1 | 8.73 |
| 2 | 8.21 |
| 3 | 11.32 |
| 4 | 7.48 |